SbTe2SN, relaxed, DFT GGA-PBE; ΔE to the lowest computed polymorph = 0.369 eV/atom
1.0
-4.089 -2.871 -2.971
3.687 -0.649 -4.447
1.248 -3.355 1.524
Te S Sb N
2 1 1 1
Direct
0.000 0.500 0.000
0.500 0.000 0.000
0.500 0.500 0.500
0.000 0.000 0.000
0.000 0.000 0.500

FeSbRuI2, relaxed, DFT GGA-PBE; ΔE to the lowest computed polymorph = 0.244 eV/atom
1.0
5.336 0.000 0.000
0.000 5.336 0.000
0.000 0.000 4.876
Ru Sb I Fe
1 1 2 1
Direct
0.500 0.500 0.500
0.000 0.000 0.500
0.500 0.000 0.000
0.000 0.500 0.000
0.000 0.000 0.000

MnCdSb2, relaxed, DFT GGA-PBE; DFT total energy = -17.2 eV per formula unit
1.0
-1.449 -4.908 -1.731
3.724 -3.335 2.047
-2.986 3.715 2.542
Cd Sb Mn
1 2 1
Direct
0.250 0.750 0.500
0.500 0.500 0.000
0.000 0.000 0.000
0.750 0.250 0.500

NaY2VPb, relaxed, DFT GGA-PBE; energy of formation = 953 meV/atom
1.0
5.513 0.000 0.000
0.000 4.846 0.000
0.000 0.000 5.513
Na V Pb Y
1 1 1 2
Direct
0.000 0.000 0.000
0.000 0.500 0.000
0.500 0.500 0.500
0.500 0.000 0.000
0.000 0.000 0.500

KW2Br, relaxed, DFT GGA-PBE; ΔE to the lowest computed polymorph = 0.927 eV/atom
1.0
8.151 -0.017 0.000
6.383 5.070 0.000
-7.267 -2.526 2.693
Br K W
1 1 2
Direct
0.250 0.750 0.500
0.750 0.250 0.500
0.000 0.000 0.000
0.500 0.500 0.000

La2Sm3Ho8, relaxed, DFT GGA-PBE; energy of formation = 250 meV/atom; ΔE to the lowest computed polymorph = 0.019 eV/atom
1.0
5.485 0.000 0.773
0.000 7.683 -0.003
-1.469 -3.846 10.418
La Ho Sm
2 8 3
Direct
0.500 0.241 0.481
0.500 0.759 0.519
0.500 0.605 0.787
0.500 0.819 0.213
0.000 0.874 0.749
0.000 0.126 0.251
0.500 0.181 0.787
0.000 0.340 0.681
0.000 0.660 0.319
0.500 0.395 0.213
0.500 0.000 0.000
0.000 0.707 0.000
0.000 0.293 0.000

K3TiCu, relaxed, DFT GGA-PBE; energy of formation = 1144 meV/atom; ΔE to the lowest computed polymorph = 0.000 eV/atom
1.0
6.196 0.000 0.000
0.000 6.196 0.000
0.000 0.000 6.196
K Cu Ti
3 1 1
Direct
0.000 0.500 0.000
0.500 0.000 0.000
0.000 0.000 0.500
0.000 0.000 0.000
0.500 0.500 0.500

LaTb7Sm2, relaxed, DFT GGA-PBE; energy of formation = 21 meV/atom; ΔE to the lowest computed polymorph = 0.000 eV/atom
1.0
-4.218 2.364 3.924
-5.033 -7.676 2.483
8.367 4.267 1.515
Tb La Sm
7 1 2
Direct
0.999 0.600 0.397
0.500 0.500 0.000
0.001 0.400 0.603
0.500 0.697 0.798
0.500 0.303 0.202
0.000 0.798 0.200
0.000 0.202 0.800
0.000 0.000 0.000
0.502 0.099 0.401
0.498 0.901 0.599